Entry 1:
The following is a PBE calculation of an optimized crystal structure of La2SmCd2Hg2, from Alexandria via LeMat-Bulk.

## Properties
Total magnetization ... 0.00 μB/f.u.
Calculated total energy ... -19.14 eV for the cell shown
Formation energy from the elements ... -305 meV/atom

a = 9.5646 Å, b = 9.5646 Å, c = 9.5646 Å
α = 30.32°, β = 30.32°, γ = 30.32°
Fractional coordinates of all 7 atoms:
La 0.1269 0.1269 0.1269
La 0.8731 0.8731 0.8731
Sm 0.0000 0.0000 0.0000
Cd 0.2643 0.2643 0.2643
Cd 0.7357 0.7357 0.7357
Hg 0.3937 0.3937 0.3937
Hg 0.6063 0.6063 0.6063



Entry 2:
The following is a PBE calculation of an optimized crystal structure of NaPa2RuN5, from Alexandria via LeMat-Bulk.

## Properties
Total magnetization ... 0.00 μB/f.u.
Calculated total energy ... -156.52 eV for the cell shown
Uncorrected formation energy ... -783 meV per atom

a = 7.3894 Å, b = 7.3894 Å, c = 7.3894 Å
α = 126.19°, β = 126.19°, γ = 79.57°
Fractional coordinates of all 18 atoms:
Na 0.2500 0.2500 0.0000
Na 0.7500 0.7500 0.0000
Pa 0.1867 0.6867 0.8733
Pa 0.3133 0.1867 0.5000
Pa 0.6867 0.8133 0.5000
Pa 0.8133 0.3133 0.1267
Ru 0.2500 0.7500 0.5000
Ru 0.7500 0.2500 0.5000
N 0.0000 0.0000 0.0000
N 0.0109 0.2339 0.5000
N 0.2339 0.7339 0.2230
N 0.2661 0.4891 0.5000
N 0.4891 0.9891 0.2230
N 0.5000 0.5000 0.0000
N 0.5109 0.0109 0.7770
N 0.7339 0.5109 0.5000
N 0.7661 0.2661 0.7770
N 0.9891 0.7661 0.5000



Entry 3:
The following is a PBE calculation of an optimized crystal structure of CrInHg, from Alexandria via LeMat-Bulk.

## Properties
Total magnetization ... 3.12 μB/f.u.
Distance to the lowest polymorph of the same formula ... 0 meV/atom
Calculated total energy ... -11.76 eV for the cell shown
Formation energy from the elements ... 302 meV/atom

a = 3.0703 Å, b = 4.7087 Å, c = 4.7337 Å
α = 90.00°, β = 90.00°, γ = 90.00°
Fractional coordinates of all 3 atoms:
Cr 0.0000 0.0000 0.0000
In 0.5000 0.5000 0.0000
Hg 0.5000 0.0000 0.5000



Entry 4:
The following is a PBE calculation of an optimized crystal structure of Tb3Pa, from Alexandria via LeMat-Bulk.

## Properties
Total magnetization ... 0.00 μB/f.u.
Distance to the lowest polymorph of the same formula ... 29 meV/atom
Calculated total energy ... -22.49 eV for the cell shown
Formation energy from the elements ... 223 meV/atom

a = 4.9211 Å, b = 4.9211 Å, c = 4.9211 Å
α = 90.00°, β = 90.00°, γ = 90.00°
Fractional coordinates of all 4 atoms:
Tb 0.0000 0.0000 0.5000
Tb 0.0000 0.5000 0.0000
Tb 0.5000 0.0000 0.0000
Pa 0.5000 0.5000 0.5000



Entry 5:
The following is a PBE calculation of an optimized crystal structure of LiSbCl, from Alexandria via LeMat-Bulk.

## Properties
Total magnetization ... 0.00 μB/f.u.
Distance to the lowest polymorph of the same formula ... 19 meV/atom
Calculated total energy ... -20.60 eV for the cell shown
Uncorrected formation energy ... -806 meV per atom

a = 8.0460 Å, b = 8.0460 Å, c = 8.0460 Å
α = 155.69°, β = 135.71°, γ = 51.16°
Fractional coordinates of all 6 atoms:
Li 0.1998 0.1998 0.0000
Li 0.8002 0.8002 0.0000
Sb 0.2224 0.5000 0.7224
Sb 0.7776 0.5000 0.2776
Cl 0.3056 0.8056 0.5000
Cl 0.6944 0.1944 0.5000



Entry 6:
The following is a PBE calculation of an optimized crystal structure of HoLuS, from Alexandria via LeMat-Bulk.

## Properties
Total magnetization ... 0.00 μB/f.u.
Calculated total energy ... -16.99 eV for the cell shown
Uncorrected formation energy ... -1256 meV per atom

a = 3.7130 Å, b = 3.7130 Å, c = 6.1965 Å
α = 90.00°, β = 90.00°, γ = 120.00°
Fractional coordinates of all 3 atoms:
Ho 0.0000 0.0000 0.0000
Lu 0.3333 0.6667 0.5364
S 0.6667 0.3333 0.2735



Entry 7:
The following is a PBE calculation of an optimized crystal structure of RbIrI2F, from Alexandria via LeMat-Bulk.

## Properties
Total magnetization ... 0.24 μB/f.u.
Calculated total energy ... -16.34 eV for the cell shown
Uncorrected formation energy ... -308 meV per atom

a = 5.1806 Å, b = 5.1806 Å, c = 7.4796 Å
α = 90.00°, β = 90.00°, γ = 90.00°
Fractional coordinates of all 5 atoms:
Rb 0.0000 0.0000 0.0000
Ir 0.0000 0.0000 0.5000
I 0.0000 0.5000 0.5000
I 0.5000 0.0000 0.5000
F 0.5000 0.5000 0.0000



Entry 8:
The following is a PBE calculation of an optimized crystal structure of PaCoSnH, from Alexandria via LeMat-Bulk.

## Properties
Total magnetization ... 0.00 μB/f.u.
Calculated total energy ... -25.42 eV for the cell shown

a = 3.6254 Å, b = 4.5183 Å, c = 4.5183 Å
α = 57.50°, β = 90.00°, γ = 90.00°
Fractional coordinates of all 4 atoms:
Pa 0.0000 0.0000 0.0000
Co 0.5000 0.6451 0.6451
Sn 0.5000 0.3216 0.3216
H 0.0000 0.6512 0.6512



Entry 9:
The following is a PBE calculation of an optimized crystal structure of NpPaBi6, from Alexandria via LeMat-Bulk.

## Properties
Total magnetization ... 3.33 μB/f.u.
Calculated total energy ... -46.14 eV for the cell shown
Formation energy from the elements ... -52 meV/atom

a = 4.9089 Å, b = 4.9089 Å, c = 9.8324 Å
α = 90.00°, β = 90.00°, γ = 90.00°
Fractional coordinates of all 8 atoms:
Np 0.0000 0.0000 0.0000
Pa 0.0000 0.0000 0.5000
Bi 0.0000 0.5000 0.2517
Bi 0.0000 0.5000 0.7483
Bi 0.5000 0.0000 0.2517
Bi 0.5000 0.0000 0.7483
Bi 0.5000 0.5000 0.0000
Bi 0.5000 0.5000 0.5000



Entry 10:
The following is a PBE calculation of an optimized crystal structure of AcPmErIn, from Alexandria via LeMat-Bulk.

## Properties
Total magnetization ... 0.00 μB/f.u.
Calculated total energy ... -16.34 eV for the cell shown
Formation energy from the elements ... -46 meV/atom

a = 5.6306 Å, b = 5.6306 Å, c = 5.6306 Å
α = 60.00°, β = 60.00°, γ = 60.00°
Fractional coordinates of all 4 atoms:
Ac 0.0000 0.0000 0.0000
Pm 0.7500 0.7500 0.7500
Er 0.2500 0.2500 0.2500
In 0.5000 0.5000 0.5000



Entry 11:
The following is a PBE calculation of an optimized crystal structure of Gd2Ni4C, from Alexandria via LeMat-Bulk.

## Properties
Total magnetization ... 14.83 μB/f.u.
Calculated total energy ... -62.14 eV for the cell shown
Formation energy from the elements ... -233 meV/atom

a = 8.0054 Å, b = 8.0054 Å, c = 8.0054 Å
α = 152.27°, β = 152.27°, γ = 39.62°
Fractional coordinates of all 7 atoms:
Gd 0.1645 0.1645 0.0000
Gd 0.8355 0.8355 0.0000
Ni 0.0000 0.5000 0.5000
Ni 0.3752 0.3752 0.0000
Ni 0.5000 0.0000 0.5000
Ni 0.6248 0.6248 0.0000
C 0.5000 0.5000 0.0000



Entry 12:
The following is a PBE calculation of an optimized crystal structure of YTmTh2N4, from Alexandria via LeMat-Bulk.

## Properties
Total magnetization ... 0.00 μB/f.u.
Calculated total energy ... -72.11 eV for the cell shown
Uncorrected formation energy ... -1630 meV per atom

a = 6.1495 Å, b = 3.5638 Å, c = 6.1698 Å
α = 90.00°, β = 109.52°, γ = 90.00°
Fractional coordinates of all 8 atoms:
Y 0.0000 0.0000 0.0000
Tm 0.0000 0.5000 0.5000
Th 0.5000 0.0000 0.5000
Th 0.5000 0.5000 0.0000
N 0.2413 0.0000 0.7438
N 0.2438 0.5000 0.2512
N 0.7562 0.5000 0.7488
N 0.7587 0.0000 0.2562